No. 1
{
  "formula": "HfTaCr4",
  "functional": "PBE",
  "state": "optimized geometry",
  "magnetic_moment_mub_per_cell": 0.00,
  "vol_a3_per_atom": 14.35,
  "e_form_mev_per_atom": -143,
  "lattice_angstrom": [[-0.4401, 2.8720, -4.0162], [-4.3862, 0.4337, -2.2683], [-2.5165, 4.2625, 0.2648]],
  "species": ["Ta", "Cr", "Cr", "Cr", "Cr", "Hf"],
  "frac_coords": [[0.0000, 0.0000, 0.0000], [0.6252, 0.6252, 0.1244], [0.6252, 0.1244, 0.6252], [0.1244, 0.6252, 0.6252], [0.6252, 0.6252, 0.6252], [0.2500, 0.2500, 0.2500]]
}

No. 2
{
  "formula": "La6Pm3Sm2",
  "functional": "PBE",
  "state": "optimized geometry",
  "magnetic_moment_mub_per_cell": 0.00,
  "vol_a3_per_atom": 37.83,
  "e_form_mev_per_atom": 430,
  "lattice_angstrom": [[5.9977, 0.0000, 0.0000], [0.0000, 5.9977, 0.0000], [-2.9988, -2.9988, 11.5678]],
  "species": ["La", "Pm", "La", "Pm", "La", "Pm", "Sm", "La", "La", "La", "Sm"],
  "frac_coords": [[0.7179, 0.7179, 0.4359], [0.1515, 0.1515, 0.3030], [0.2821, 0.2821, 0.5641], [0.8485, 0.8485, 0.6970], [0.3907, 0.8907, 0.7815], [0.0000, 0.0000, 0.0000], [0.4378, 0.4378, 0.8756], [0.8907, 0.3907, 0.7815], [0.6093, 0.1093, 0.2185], [0.1093, 0.6093, 0.2185], [0.5622, 0.5622, 0.1244]]
}

No. 3
{
  "formula": "CeSi2Ir",
  "functional": "PBE",
  "state": "optimized geometry",
  "magnetic_moment_mub_per_cell": 0.72,
  "vol_a3_per_atom": 18.41,
  "e_form_raw_kj_per_mol_atoms": -89,
  "lattice_angstrom": [[-4.1089, 0.9357, 0.8477], [-1.4454, 1.2759, -8.4144], [0.8620, -8.7625, 2.9513]],
  "species": ["Si", "Ce", "Ir", "Si", "Si", "Si", "Ir", "Si", "Si", "Ce", "Si", "Si", "Ce", "Ir", "Ir", "Ce"],
  "frac_coords": [[0.6982, 0.0455, 0.3964], [0.7072, 0.7072, 0.4143], [0.1465, 0.8991, 0.2930], [0.3018, 0.6491, 0.6036], [0.6982, 0.3509, 0.3964], [0.3018, 0.9545, 0.6036], [0.8535, 0.1009, 0.7070], [0.9248, 0.9248, 0.8496], [0.0749, 0.5749, 0.1498], [0.2928, 0.2928, 0.5857], [0.0752, 0.0752, 0.1504], [0.9251, 0.4251, 0.8502], [0.5000, 0.2568, 0.0000], [0.1465, 0.3939, 0.2930], [0.8535, 0.6061, 0.7070], [0.5000, 0.7432, 0.0000]]
}

No. 4
{
  "formula": "GeTeSeN2",
  "functional": "PBE",
  "state": "optimized geometry",
  "magnetic_moment_mub_per_cell": 0.26,
  "vol_a3_per_atom": 20.66,
  "e_form_raw_kj_per_mol_atoms": 116,
  "lattice_angstrom": [[-1.4087, -3.3706, 1.0836], [3.4559, -1.0556, 1.2090], [-1.4362, 2.6691, 6.4355]],
  "species": ["Te", "Ge", "N", "Se", "N"],
  "frac_coords": [[0.0000, 0.0000, 0.5000], [0.0000, 0.0000, 0.0000], [0.5000, 0.0000, 0.0000], [0.5000, 0.5000, 0.5000], [0.0000, 0.5000, 0.0000]]
}

No. 5
{
  "formula": "ScMo2Rh",
  "functional": "PBE",
  "state": "optimized geometry",
  "magnetic_moment_mub_per_cell": 0.00,
  "vol_a3_per_atom": 16.15,
  "e_form_mev_per_atom": -196,
  "lattice_angstrom": [[4.5046, -0.0001, 0.0000], [0.0020, 4.5046, 0.0000], [-2.2533, -2.2523, 3.1846]],
  "species": ["Mo", "Mo", "Rh", "Sc"],
  "frac_coords": [[0.2500, 0.7500, 0.5000], [0.0000, 0.0000, 0.0000], [0.5000, 0.5000, 0.0000], [0.7500, 0.2500, 0.5000]]
}

No. 6
{
  "formula": "LaSmDy2",
  "functional": "PBE",
  "state": "optimized geometry",
  "magnetic_moment_mub_per_cell": 0.00,
  "vol_a3_per_atom": 33.42,
  "e_form_mev_per_atom": 15,
  "lattice_angstrom": [[3.6347, 0.0000, 0.0000], [1.8173, 3.1477, 0.0000], [1.8173, 1.0492, 11.6838]],
  "species": ["Sm", "Dy", "La", "Dy"],
  "frac_coords": [[0.5005, 0.5005, 0.4985], [0.2490, 0.2490, 0.2530], [0.6665, 0.6665, 0.0005], [0.0840, 0.0840, 0.7480]]
}